First-principles (PBE-GGA) data for an optimized crystal structure of Cs4KCd3, as listed in Alexandria via LeMat-Bulk.

Results
- Formation energy: -0.006 eV/atom
- Space-group type: Pmm2 (25)

Structure (extended XYZ):
```
8
Lattice="5.935 0.000 0.000 0.000 5.411 0.000 0.000 0.000 15.914" Properties=species:S:1:pos:R:3 pbc="T T T"
Cs 2.967 2.706 6.158
Cs 0.000 2.706 13.116
Cs 0.000 0.000 3.141
Cs 2.967 0.000 10.126
K 2.967 2.706 0.741
Cd 0.000 2.706 8.742
Cd 0.000 0.000 7.435
Cd 2.967 0.000 14.198
```


First-principles (PBE-GGA) data for an optimized crystal structure of Pm5Pr2NdTm, as listed in Alexandria via LeMat-Bulk.

Results
- Formation energy: 0.270 eV/atom
- Space-group type: I4/mcm (140)

Structure (extended XYZ):
```
18
Lattice="8.810 0.000 0.000 0.000 8.810 0.000 -4.405 -4.405 8.079" Properties=species:S:1:pos:R:3 pbc="T T T"
Pm 6.934 2.529 2.275
Pm 2.529 -1.876 5.804
Pm -2.529 1.876 5.804
Pm -1.876 -2.529 5.804
Pm 1.876 2.529 5.804
Pm 6.282 6.934 2.275
Pm 2.529 1.876 2.275
Pm 1.876 6.282 2.275
Pm 4.405 4.405 0.000
Pm 0.000 0.000 0.000
Pr 1.048 3.357 0.000
Pr 5.454 1.048 0.000
Pr 3.357 7.762 0.000
Pr 7.762 5.454 0.000
Nd 0.000 0.000 4.039
Nd 4.405 4.405 4.039
Tm 0.000 4.405 4.039
Tm 4.405 0.000 4.039
```


First-principles (PBE-GGA) data for an optimized crystal structure of Ac3Cu2OsO9, as listed in Alexandria via LeMat-Bulk.

Results
- Energy relative to the elements, uncorrected: -197 kJ per mole of atoms
- Space-group type: P-3m1 (164)

Structure (extended XYZ):
```
15
Lattice="-5.502 -0.823 -1.169 3.989 -2.248 -3.369 0.037 -5.810 3.920" Properties=species:S:1:pos:R:3 pbc="T T T"
Ac 0.851 -5.816 0.092
Ac 0.000 0.000 0.000
Ac -2.327 -3.066 -0.710
Cu 0.831 -2.727 -1.992
Cu -2.308 -6.155 1.375
Os 0.018 -2.905 1.960
O -3.945 -4.925 1.089
O -1.889 -6.084 -0.648
O -1.109 -4.501 1.691
O -0.368 -4.381 -2.308
O 0.412 -2.798 0.031
O 2.468 -3.956 -1.706
O -2.751 -0.412 -0.584
O 1.994 -1.124 -1.685
O -0.757 -1.536 -2.269
```


The records above give, respectively, volume values of 63.9 34.8 13.1 Å³/atom.